[1]
Density functional theory data (PBE) for a geometry-optimized Sb2TeRuF structure.

## Properties
DOS(E_F) = 7.5 states/eV/cell
Energy relative to the elements, uncorrected = 0.16 eV per atom

```
data_Sb2TeRuF
_cell_length_a 5.110
_cell_length_b 5.110
_cell_length_c 5.212
_cell_angle_alpha 90.00
_cell_angle_beta 90.00
_cell_angle_gamma 90.00
_symmetry_space_group_name_H-M 'P 4/m m m'
_symmetry_Int_Tables_number 123
_symmetry_space_group_name_Hall '-P 4 2'
loop_
_atom_site_label
_atom_site_fract_x
_atom_site_fract_y
_atom_site_fract_z
Sb1 0.000 0.500 0.000
Te1 0.000 0.000 0.500
Ru1 0.000 0.000 0.000
F1 0.500 0.500 0.500
```

=====

[2]
Density functional theory data (PBE) for a geometry-optimized SmTh2ScP4 structure.

## Properties
Energy relative to the elements = -1512 meV/atom
DOS(E_F) = 3.8 states/eV/cell

```
data_SmTh2ScP4
_cell_length_a 6.964
_cell_length_b 4.071
_cell_length_c 7.044
_cell_angle_alpha 90.00
_cell_angle_beta 109.78
_cell_angle_gamma 90.00
_symmetry_space_group_name_H-M 'P 1 2/m 1'
_symmetry_Int_Tables_number 10
loop_
_symmetry_equiv_pos_as_xyz
'x,y,z'
'-x,-y,-z'
'-x,y,-z'
'x,-y,z'
loop_
_atom_site_label
_atom_site_fract_x
_atom_site_fract_y
_atom_site_fract_z
Sm1 0.000 0.000 0.000
Th1 0.500 0.000 0.500
Th2 0.500 0.500 0.000
Sc1 0.000 0.500 0.500
P1 0.236 0.000 0.737
P2 0.242 0.500 0.256
```

=====

[3]
Density functional theory data (PBE) for a geometry-optimized TaNi3Br structure.

## Properties
DOS(E_F) = 6.6 states/eV/cell
Energy relative to the elements, uncorrected = 1.34 eV per atom

```
data_TaNi3Br
_cell_length_a 4.657
_cell_length_b 4.657
_cell_length_c 4.657
_cell_angle_alpha 90.00
_cell_angle_beta 90.00
_cell_angle_gamma 90.00
_symmetry_space_group_name_H-M 'P m -3 m'
_symmetry_Int_Tables_number 221
_symmetry_space_group_name_Hall '-P 4 2 3'
loop_
_atom_site_label
_atom_site_fract_x
_atom_site_fract_y
_atom_site_fract_z
Ta1 0.000 0.000 0.000
Ni1 0.000 0.000 0.500
Br1 0.500 0.500 0.500
```

=====

[4]
Density functional theory data (PBE) for a geometry-optimized Dy3Si2Pd structure.

## Properties
DOS(E_F) = 16.9 states/eV/cell
Energy relative to the elements, uncorrected = -0.81 eV per atom

```
data_Dy3Si2Pd
_cell_length_a 11.451
_cell_length_b 4.243
_cell_length_c 11.279
_cell_angle_alpha 90.00
_cell_angle_beta 90.00
_cell_angle_gamma 90.00
_symmetry_space_group_name_H-M 'P n m a'
_symmetry_Int_Tables_number 62
loop_
_symmetry_equiv_pos_as_xyz
'x,y,z'
'-x,-y,-z'
'-x+1/2,-y,z+1/2'
'x+1/2,y,-z+1/2'
'x+1/2,-y+1/2,-z+1/2'
'-x+1/2,y+1/2,z+1/2'
'-x,y+1/2,-z'
'x,-y+1/2,z'
loop_
_atom_site_label
_atom_site_fract_x
_atom_site_fract_y
_atom_site_fract_z
Dy1 0.054 0.250 0.125
Dy2 0.122 0.750 0.562
Dy3 0.212 0.250 0.807
Si1 0.016 0.750 0.312
Si2 0.189 0.750 0.002
Pd1 0.129 0.250 0.370
```

=====

[5]
Density functional theory data (PBE) for a geometry-optimized MnAs4Cl structure.

## Properties
DOS(E_F) = 13.5 states/eV/cell
Energy relative to the elements, uncorrected = 0.35 eV per atom

```
data_MnAs4Cl
_cell_length_a 8.055
_cell_length_b 8.055
_cell_length_c 8.055
_cell_angle_alpha 90.00
_cell_angle_beta 90.00
_cell_angle_gamma 90.00
_symmetry_space_group_name_H-M 'F -4 3 m'
_symmetry_Int_Tables_number 216
_symmetry_space_group_name_Hall 'F -4 2 3'
loop_
_atom_site_label
_atom_site_fract_x
_atom_site_fract_y
_atom_site_fract_z
Mn1 0.000 0.000 0.000
As1 0.112 0.112 0.612
Cl1 0.250 0.250 0.250
```

=====

[6]
Density functional theory data (PBE) for a geometry-optimized BaCuBi structure.

## Properties
Energy relative to the elements = 24 meV/atom
DOS(E_F) = 1.0 states/eV/cell

```
data_BaCuBi
_cell_length_a 5.7366
_cell_length_b 5.7366
_cell_length_c 6.9637
_cell_angle_alpha 90.00
_cell_angle_beta 90.00
_cell_angle_gamma 120.00
_symmetry_space_group_name_H-M 'P 63/m m c'
_symmetry_Int_Tables_number 194
_symmetry_space_group_name_Hall '-P 6c 2c'
loop_
_atom_site_label
_atom_site_fract_x
_atom_site_fract_y
_atom_site_fract_z
Ba1 0.3333 0.6667 0.2500
Cu1 0.0000 0.0000 0.0000
Bi1 0.3333 0.6667 0.7500
```

=====

[7]
Density functional theory data (PBE) for a geometry-optimized PrHoTmGa structure.

## Properties
Energy relative to the elements = -96 meV/atom
DOS(E_F) = 26.4 states/eV/cell

```
data_PrHoTmGa
_cell_length_a 7.586
_cell_length_b 7.586
_cell_length_c 7.586
_cell_angle_alpha 90.00
_cell_angle_beta 90.00
_cell_angle_gamma 90.00
_symmetry_space_group_name_H-M 'F -4 3 m'
_symmetry_Int_Tables_number 216
_symmetry_space_group_name_Hall 'F -4 2 3'
loop_
_atom_site_label
_atom_site_fract_x
_atom_site_fract_y
_atom_site_fract_z
Pr1 0.000 0.000 0.000
Ho1 0.000 0.000 0.500
Tm1 0.250 0.250 0.750
Ga1 0.250 0.250 0.250
```

=====

[8]
Density functional theory data (PBE) for a geometry-optimized UTcCl structure.

## Properties
DOS(E_F) = 41.5 states/eV/cell
Energy relative to the elements, uncorrected = -0.37 eV per atom

```
data_UTcCl
_cell_length_a 21.085
_cell_length_b 3.316
_cell_length_c 8.467
_cell_angle_alpha 90.00
_cell_angle_beta 97.37
_cell_angle_gamma 90.00
_symmetry_space_group_name_H-M 'C 1 2/m 1'
_symmetry_Int_Tables_number 12
loop_
_symmetry_equiv_pos_as_xyz
'x,y,z'
'-x,-y,-z'
'-x,y,-z'
'x,-y,z'
'x+1/2,y+1/2,z'
'-x+1/2,-y+1/2,-z'
'-x+1/2,y+1/2,-z'
'x+1/2,-y+1/2,z'
loop_
_atom_site_label
_atom_site_fract_x
_atom_site_fract_y
_atom_site_fract_z
U1 0.149 0.000 0.437
U2 0.151 0.000 0.914
Tc1 0.243 0.000 0.622
Tc2 0.244 0.000 0.123
Cl1 0.070 0.000 0.163
Cl2 0.082 0.500 0.659
```

=====

DOS(E_F) of number 4 (Dy3Si2Pd)? 16.9 states/eV/cell

=====

What is the DOS(E_F) in the seventh record? 26.4 states/eV/cell